1.
## Co2AuC2 (PBE)

Data for an optimized crystal structure of Co2AuC2.

Structure (POSCAR):
```
Co2AuC2
1.0
3.5940 0.0000 0.0000
0.0000 3.5940 0.0000
1.7970 1.7970 3.7621
Co C Au
2 2 1
direct
0.7500 0.2500 0.5000
0.2500 0.7500 0.5000
0.3973 0.3973 0.2054
0.6027 0.6027 0.7946
0.0000 0.0000 0.0000
```

## Properties
Size of the total moment   0.0 μB per formula unit
Symmetry   I4/mmm
Formation enthalpy at 0 K   0.716 eV/atom

---

2.
## Co2AuC2 (PBE)

Data for an optimized crystal structure of Co2AuC2.

Structure (POSCAR):
```
Co2AuC2
1.0
6.0603 0.0000 0.0000
0.0000 6.0603 0.0000
0.0000 0.0000 2.8562
Co C Au
4 4 2
direct
0.1371 0.6371 0.5000
0.6371 0.8629 0.5000
0.8629 0.3629 0.5000
0.3629 0.1371 0.5000
0.4105 0.9105 0.0000
0.9105 0.5895 0.0000
0.5895 0.0895 0.0000
0.0895 0.4105 0.0000
0.0000 0.0000 0.0000
0.5000 0.5000 0.0000
```

## Properties
Size of the total moment   0.9 μB per formula unit
Symmetry   P4/mbm
Formation enthalpy at 0 K   1.052 eV/atom

---

3.
## Co3AuC (PBE)

Data for an optimized crystal structure of Co3AuC.

Structure (POSCAR):
```
Co3AuC
1.0
-2.8428 -2.5899 0.1316
2.5086 -2.6970 1.1133
-0.6571 0.9083 3.6809
Co C Au
3 1 1
direct
0.0000 0.5000 0.0000
0.0000 0.0000 0.5000
0.5000 0.0000 0.0000
0.0000 0.0000 0.0000
0.5000 0.5000 0.5000
```

## Properties
Size of the total moment   4.2 μB per formula unit
Symmetry   Pm-3m
Formation enthalpy at 0 K   0.195 eV/atom

---

Quick rundown of energy above the most stable polymorph in this dataset, same order as above: 0.000; 0.335; 0.000 eV/atom